Record 1
CuMoAu2: optimized geometry, PBE.

Properties
E above lowest polymorph	237.7	meV/atom
formation energy from the elements	0.3657	eV/atom

Structure (CIF):
```
data_CuMoAu2
_chemical_formula_sum 'Cu1 Mo1 Au2'
_symmetry_space_group_name_H-M 'P 1'
_symmetry_Int_Tables_number 1
_cell_length_a 4.5165
_cell_length_b 4.5165
_cell_length_c 4.5165
_cell_angle_alpha 60.00
_cell_angle_beta 60.00
_cell_angle_gamma 60.00
loop_
_symmetry_equiv_pos_as_xyz
'x,y,z'
loop_
_atom_site_label
_atom_site_fract_x
_atom_site_fract_y
_atom_site_fract_z
Cu1 0.0000 0.0000 0.0000
Mo1 0.5000 0.5000 0.5000
Au1 0.7500 0.7500 0.7500
Au2 0.2500 0.2500 0.2500
```

***

Record 2
NaY3O: optimized geometry, PBE.

Properties
E above lowest polymorph	2053.2	meV/atom

Structure (CIF):
```
data_NaY3O
_chemical_formula_sum 'Na1 Y3 O1'
_symmetry_space_group_name_H-M 'P 1'
_symmetry_Int_Tables_number 1
_cell_length_a 5.4684
_cell_length_b 5.4684
_cell_length_c 5.4684
_cell_angle_alpha 90.00
_cell_angle_beta 90.00
_cell_angle_gamma 90.00
loop_
_symmetry_equiv_pos_as_xyz
'x,y,z'
loop_
_atom_site_label
_atom_site_fract_x
_atom_site_fract_y
_atom_site_fract_z
Y1 0.5000 0.0000 0.0000
Y2 0.0000 0.5000 0.0000
Y3 0.0000 0.0000 0.5000
O1 0.5000 0.5000 0.5000
Na1 0.0000 0.0000 0.0000
```

***

Record 3
LaCN3: optimized geometry, PBE.

Properties
final energy	-33.239	eV per formula unit

Structure (CIF):
```
data_LaCN3
_chemical_formula_sum 'La1 C1 N3'
_symmetry_space_group_name_H-M 'P 1'
_symmetry_Int_Tables_number 1
_cell_length_a 3.6512
_cell_length_b 3.6512
_cell_length_c 3.6512
_cell_angle_alpha 90.00
_cell_angle_beta 90.00
_cell_angle_gamma 90.00
loop_
_symmetry_equiv_pos_as_xyz
'x,y,z'
loop_
_atom_site_label
_atom_site_fract_x
_atom_site_fract_y
_atom_site_fract_z
N1 0.0000 0.0000 0.5000
N2 0.5000 0.0000 0.0000
N3 0.0000 0.5000 0.0000
C1 0.0000 0.0000 0.0000
La1 0.5000 0.5000 0.5000
```